Entry 1:
BaLiZnPd GGA-PBE relaxed; spin magnetization = 0.0 μB per cell; VASP energy = -2.978 eV per atom; calculated density = 5.23 g cm⁻³; crystal system = monoclinic
1.0
3.911 -2.270 0.000
3.911 2.270 0.000
-2.630 0.000 5.654
Ba Li Zn Pd
1 1 1 1
direct
0.000 0.000 0.000
0.186 0.186 0.557
0.486 0.486 0.454
0.803 0.803 0.406

---

Entry 2:
SrBe4Te GGA-PBE relaxed; ΔE_f (raw) = 0.578 eV per atom; spin magnetization = 0.0 μB per cell; calculated density = 4.06 g cm⁻³; crystal system = cubic
1.0
0.000 3.719 3.719
3.719 0.000 3.719
3.719 3.719 0.000
Sr Be Te
1 4 1
direct
0.000 0.000 0.000
0.360 0.360 0.360
0.360 0.360 0.919
0.360 0.919 0.360
0.919 0.360 0.360
0.750 0.750 0.750

---

Entry 3:
UHF2 GGA-PBE relaxed; spin magnetization = 3.5 μB per cell; VASP energy = -5.722 eV per atom; calculated density = 5.63 g cm⁻³; crystal system = trigonal
1.0
1.719 0.993 7.976
-1.719 0.993 7.976
0.000 -1.985 7.976
U H F
1 1 2
direct
0.000 0.000 0.000
0.500 0.500 0.500
0.084 0.084 0.084
0.916 0.916 0.916

---

Entry 4:
SbRuSe GGA-PBE relaxed; ΔE_f (raw) = 0.389 eV per atom; spin magnetization = 0.0 μB per cell; calculated density = 8.68 g cm⁻³; crystal system = orthorhombic
1.0
-1.672 2.023 4.269
1.672 -2.023 4.269
1.672 2.023 -4.269
Sb Ru Se
1 1 1
direct
0.000 0.000 0.000
0.364 0.364 0.000
0.675 0.675 0.000

---

Entry 5:
ThNF GGA-PBE relaxed; ΔE_f (raw) = -2.678 eV per atom; spin magnetization = 0.0 μB per cell; calculated density = 10.34 g cm⁻³; crystal system = monoclinic
1.0
3.602 0.000 0.000
0.000 3.603 0.000
-0.044 0.000 6.563
Th N F
2 2 2
direct
0.238 0.250 0.219
0.762 0.750 0.781
0.235 0.250 0.863
0.765 0.750 0.137
0.253 0.750 0.500
0.747 0.250 0.500

---

Entry 6:
Sr2PS5 GGA-PBE relaxed; ΔE_f (raw) = -0.984 eV per atom; spin magnetization = 0.0 μB per cell; calculated density = 3.12 g cm⁻³; crystal system = tetragonal
1.0
-3.376 3.376 4.286
3.376 -3.376 4.286
3.376 3.376 -4.286
Sr P S
2 1 5
direct
0.000 0.500 0.500
0.500 0.000 0.500
0.298 0.298 0.000
0.015 0.015 0.555
0.015 0.460 0.000
0.460 0.015 0.000
0.460 0.460 0.445
0.537 0.537 0.000

---

Entry 7:
Sc2MoAu GGA-PBE relaxed; spin magnetization = 0.4 μB per cell; VASP energy = -6.513 eV per atom; calculated density = 7.98 g cm⁻³; crystal system = trigonal
1.0
1.542 0.890 9.663
-1.542 0.890 9.663
0.000 -1.781 9.663
Sc Mo Au
2 1 1
direct
0.000 0.000 0.000
0.235 0.235 0.235
0.490 0.490 0.490
0.745 0.745 0.745

---

Entry 8:
AlCoAu2 GGA-PBE relaxed; spin magnetization = 0.8 μB per cell; VASP energy = -4.386 eV per atom; calculated density = 12.80 g cm⁻³; crystal system = trigonal
1.0
1.441 0.832 8.649
-1.441 0.832 8.649
0.000 -1.664 8.649
Al Co Au
1 1 2
direct
0.000 0.000 0.000
0.265 0.265 0.265
0.515 0.515 0.515
0.750 0.750 0.750

---

Entry 9:
TaCo2Au GGA-PBE relaxed; spin magnetization = 0.0 μB per cell; VASP energy = -7.434 eV per atom; calculated density = 14.92 g cm⁻³; crystal system = tetragonal
1.0
3.973 0.000 0.000
0.000 3.973 0.000
0.000 0.000 3.497
Ta Co Au
1 2 1
direct
0.000 0.000 0.000
0.000 0.500 0.500
0.500 0.000 0.500
0.500 0.500 0.000

---

Entry 10:
Ho2RhAu4 GGA-PBE relaxed; spin magnetization = 0.0 μB per cell; VASP energy = -4.864 eV per atom; calculated density = 13.70 g cm⁻³; crystal system = monoclinic
1.0
4.147 -4.138 0.000
4.147 4.138 0.000
-4.137 0.000 4.311
Ho Rh Au
2 1 4
direct
0.000 0.500 0.000
0.500 0.000 0.000
0.000 0.000 0.000
0.000 0.000 0.500
0.000 0.500 0.500
0.500 0.000 0.500
0.500 0.500 0.500

---

Entry 11:
CaGa2PbAu5 GGA-PBE relaxed; spin magnetization = 0.0 μB per cell; VASP energy = -3.446 eV per atom; calculated density = 11.98 g cm⁻³; crystal system = tetragonal
1.0
4.719 0.000 0.000
0.000 4.719 0.000
0.000 0.000 8.539
Ca Ga Pb Au
1 2 1 5
direct
0.000 0.000 0.000
0.500 0.500 0.353
0.500 0.500 0.647
0.000 0.000 0.500
0.000 0.500 0.223
0.000 0.500 0.777
0.500 0.000 0.223
0.500 0.000 0.777
0.500 0.500 0.000

---

Entry 12:
TiPtPbBr2 GGA-PBE relaxed; ΔE_f (raw) = 0.212 eV per atom; spin magnetization = 0.2 μB per cell; calculated density = 7.22 g cm⁻³; crystal system = tetragonal
1.0
4.782 0.000 0.000
0.000 4.782 0.000
0.000 0.000 6.140
Ti Pt Pb Br
1 1 1 2
direct
0.000 0.000 0.000
0.500 0.500 0.500
0.000 0.000 0.500
0.000 0.500 0.000
0.500 0.000 0.000

---

Entry 13:
Si23C3 GGA-PBE relaxed; ΔE_f (raw) = 0.852 eV per atom; spin magnetization = 12.4 μB per cell; calculated density = 2.16 g cm⁻³; crystal system = cubic
1.0
10.162 0.000 0.000
0.000 10.162 0.000
0.000 0.000 10.162
Si C
46 6
direct
0.000 0.116 0.310
0.000 0.116 0.690
0.000 0.250 0.500
0.000 0.750 0.500
0.000 0.884 0.310
0.000 0.884 0.690
0.116 0.310 0.000
0.116 0.690 0.000
0.184 0.184 0.184
0.184 0.184 0.816
0.184 0.816 0.184
0.184 0.816 0.816
0.190 0.384 0.500
0.190 0.616 0.500
0.250 0.500 0.000
0.310 0.000 0.116
0.310 0.000 0.884
0.316 0.316 0.316
0.316 0.316 0.684
0.316 0.684 0.316
0.316 0.684 0.684
0.384 0.500 0.190
0.384 0.500 0.810
0.500 0.000 0.250
0.500 0.000 0.750
0.500 0.190 0.384
0.500 0.190 0.616
0.500 0.810 0.384
0.500 0.810 0.616
0.616 0.500 0.190
0.616 0.500 0.810
0.684 0.316 0.316
0.684 0.316 0.684
0.684 0.684 0.316
0.684 0.684 0.684
0.690 0.000 0.116
0.690 0.000 0.884
0.750 0.500 0.000
0.810 0.384 0.500
0.810 0.616 0.500
0.816 0.184 0.184
0.816 0.184 0.816
0.816 0.816 0.184
0.816 0.816 0.816
0.884 0.310 0.000
0.884 0.690 0.000
0.000 0.500 0.250
0.000 0.500 0.750
0.250 0.000 0.500
0.500 0.250 0.000
0.500 0.750 0.000
0.750 0.000 0.500

---

Entry 14:
BaSc2Pb GGA-PBE relaxed; spin magnetization = 1.4 μB per cell; VASP energy = -4.553 eV per atom; calculated density = 5.76 g cm⁻³; crystal system = orthorhombic
1.0
3.590 0.000 0.000
0.000 4.220 0.000
0.000 0.000 8.274
Ba Sc Pb
1 2 1
direct
0.000 0.000 0.000
0.500 0.500 0.318
0.500 0.500 0.682
0.000 0.000 0.500

---

Entry 15:
YZrIn GGA-PBE relaxed; spin magnetization = 0.8 μB per cell; VASP energy = -6.102 eV per atom; calculated density = 6.46 g cm⁻³; crystal system = orthorhombic
1.0
-1.710 2.126 5.217
1.710 -2.126 5.217
1.710 2.126 -5.217
Y Zr In
1 1 1
direct
0.000 0.000 0.000
0.681 0.681 0.000
0.328 0.328 0.000

---

Entry 16:
CsRb3Ge GGA-PBE relaxed; spin magnetization = 0.8 μB per cell; VASP energy = -1.516 eV per atom; calculated density = 2.10 g cm⁻³; crystal system = cubic
1.0
7.147 0.000 0.000
0.000 7.147 0.000
0.000 0.000 7.147
Cs Rb Ge
1 3 1
direct
0.000 0.000 0.000
0.000 0.500 0.500
0.500 0.000 0.500
0.500 0.500 0.000
0.500 0.500 0.500

---

Entry 17:
CeAsO GGA-PBE relaxed; ΔE_f (raw) = -2.291 eV per atom; spin magnetization = 1.1 μB per cell; calculated density = 6.57 g cm⁻³; crystal system = tetragonal
1.0
-2.026 2.026 7.112
2.026 -2.026 7.112
2.026 2.026 -7.112
Ce As O
2 2 2
direct
0.165 0.165 0.000
0.835 0.835 0.000
0.000 0.500 0.500
0.500 0.000 0.500
0.250 0.750 0.500
0.750 0.250 0.500

---

Entry 18:
Rb2LaZnBr6 GGA-PBE relaxed; ΔE_f (raw) = -1.486 eV per atom; spin magnetization = 0.9 μB per cell; calculated density = 3.64 g cm⁻³; crystal system = tetragonal
1.0
-4.102 4.102 5.792
4.102 -4.102 5.792
4.102 4.102 -5.792
Rb La Zn Br
2 1 1 6
direct
0.250 0.750 0.500
0.750 0.250 0.500
0.000 0.000 0.000
0.500 0.500 0.000
0.253 0.253 0.000
0.253 0.253 0.505
0.253 0.747 0.000
0.747 0.253 0.000
0.747 0.747 0.000
0.747 0.747 0.495

---

Entry 19:
DyGa2Pb2Au7 GGA-PBE relaxed; spin magnetization = 0.0 μB per cell; VASP energy = -3.691 eV per atom; calculated density = 13.10 g cm⁻³; crystal system = monoclinic
1.0
3.192 -3.037 0.000
3.192 3.037 0.000
-1.604 0.000 13.700
Dy Ga Pb Au
1 2 2 7
direct
0.000 0.000 0.000
0.439 0.439 0.742
0.561 0.561 0.258
0.084 0.084 0.363
0.916 0.916 0.637
0.037 0.537 0.153
0.335 0.335 0.557
0.463 0.963 0.847
0.500 0.500 0.000
0.537 0.037 0.153
0.665 0.665 0.443
0.963 0.463 0.847

---

Entry 20:
NbHSe2N GGA-PBE relaxed; spin magnetization = 0.4 μB per cell; VASP energy = -4.723 eV per atom; calculated density = 6.59 g cm⁻³; crystal system = tetragonal
1.0
3.668 0.000 0.000
0.000 3.668 0.000
0.000 0.000 4.980
Nb H Se N
1 1 2 1
direct
0.000 0.000 0.000
0.500 0.500 0.500
0.000 0.500 0.500
0.500 0.000 0.500
0.500 0.500 0.000

---

Entry 21:
TbTl2P2Pt7 GGA-PBE relaxed; spin magnetization = 0.0 μB per cell; VASP energy = -5.767 eV per atom; calculated density = 13.82 g cm⁻³; crystal system = tetragonal
1.0
-1.998 1.998 15.021
1.998 -1.998 15.021
1.998 1.998 -15.021
Tb Tl P Pt
1 2 2 7
direct
0.000 0.000 0.000
0.211 0.211 0.000
0.789 0.789 0.000
0.384 0.384 0.000
0.616 0.616 0.000
0.073 0.573 0.500
0.309 0.309 0.000
0.427 0.927 0.500
0.500 0.500 0.000
0.573 0.073 0.500
0.691 0.691 0.000
0.927 0.427 0.500

---

Entry 22:
Np4Ru7Rh6 GGA-PBE relaxed; spin magnetization = 7.7 μB per cell; VASP energy = -9.487 eV per atom; calculated density = 13.29 g cm⁻³; crystal system = cubic
1.0
-4.141 4.141 4.141
4.141 -4.141 4.141
4.141 4.141 -4.141
Np Ru Rh
4 7 6
direct
0.000 0.000 0.500
0.000 0.500 0.000
0.500 0.000 0.000
0.500 0.500 0.500
0.000 0.000 0.000
0.250 0.500 0.750
0.250 0.750 0.500
0.500 0.250 0.750
0.500 0.750 0.250
0.750 0.250 0.500
0.750 0.500 0.250
0.000 0.297 0.297
0.000 0.703 0.703
0.297 0.000 0.297
0.297 0.297 0.000
0.703 0.000 0.703
0.703 0.703 0.000

---

Entry 23:
CrTcBr2 GGA-PBE relaxed; ΔE_f (raw) = 0.746 eV per atom; spin magnetization = 1.4 μB per cell; calculated density = 5.98 g cm⁻³; crystal system = tetragonal
1.0
-1.922 1.922 5.829
1.922 -1.922 5.829
1.922 1.922 -5.829
Cr Tc Br
1 1 2
direct
0.000 0.000 0.000
0.250 0.750 0.500
0.500 0.500 0.000
0.750 0.250 0.500

---

Entry 24:
KYRe2 GGA-PBE relaxed; spin magnetization = 0.0 μB per cell; VASP energy = -7.331 eV per atom; calculated density = 6.87 g cm⁻³; crystal system = orthorhombic
1.0
-1.830 2.523 6.549
1.830 -2.523 6.549
1.830 2.523 -6.549
K Y Re
1 1 2
direct
0.000 0.000 0.000
0.734 0.234 0.500
0.245 0.745 0.500
0.357 0.357 0.000